Entry 1:
{"formula": "MgMnBe2", "functional": "PBE", "state": "optimized geometry", "dos_ef_per_ev_atom": 0.65, "energy_ev_per_atom": -4.442, "cell": [[2.880, 0.000, 0.000], [0.000, 2.880, 0.000], [0.000, 0.000, 5.717]], "species": ["Mg", "Mn", "Be", "Be"], "fractional_positions": [[0.000, 0.000, 0.000], [0.000, 0.000, 0.500], [0.500, 0.500, 0.312], [0.500, 0.500, 0.688]]}

Entry 2:
{"formula": "K2ZnSe2O10", "functional": "PBE", "state": "optimized geometry", "dos_ef_per_ev_atom": 0.01, "raw_formation_energy_mev_per_atom": -725, "energy_ev_per_atom": -4.726, "cell": [[5.231, 0.000, 0.000], [1.642, 6.532, 0.000], [0.756, 2.134, 7.623]], "species": ["K", "K", "Zn", "Se", "Se", "O", "O", "O", "O", "O", "O", "O", "O", "O", "O"], "fractional_positions": [[0.247, 0.276, 0.322], [0.753, 0.724, 0.678], [0.000, 0.000, 0.000], [0.418, 0.290, 0.797], [0.582, 0.710, 0.203], [0.095, 0.973, 0.753], [0.257, 0.207, 0.987], [0.265, 0.726, 0.163], [0.289, 0.540, 0.692], [0.412, 0.128, 0.666], [0.588, 0.872, 0.334], [0.711, 0.460, 0.308], [0.735, 0.274, 0.837], [0.743, 0.793, 0.013], [0.905, 0.027, 0.247]]}

Entry 3:
{"formula": "Li2TlHg2Pd2", "functional": "PBE", "state": "optimized geometry", "dos_ef_per_ev_atom": 0.33, "energy_ev_per_atom": -2.731, "cell": [[4.676, -2.116, 0.000], [4.676, 2.116, 0.000], [-1.307, 0.000, 6.546]], "species": ["Li", "Li", "Tl", "Hg", "Hg", "Pd", "Pd"], "fractional_positions": [[0.204, 0.204, 0.198], [0.796, 0.796, 0.802], [0.500, 0.500, 0.000], [0.099, 0.099, 0.709], [0.901, 0.901, 0.291], [0.366, 0.366, 0.582], [0.634, 0.634, 0.418]]}

What did the second record say?
{"formula": "K2ZnSe2O10", "functional": "PBE", "state": "optimized geometry", "dos_ef_per_ev_atom": 0.01, "raw_formation_energy_mev_per_atom": -725, "energy_ev_per_atom": -4.726, "cell": [[5.231, 0.000, 0.000], [1.642, 6.532, 0.000], [0.756, 2.134, 7.623]], "species": ["K", "K", "Zn", "Se", "Se", "O", "O", "O", "O", "O", "O", "O", "O", "O", "O"], "fractional_positions": [[0.247, 0.276, 0.322], [0.753, 0.724, 0.678], [0.000, 0.000, 0.000], [0.418, 0.290, 0.797], [0.582, 0.710, 0.203], [0.095, 0.973, 0.753], [0.257, 0.207, 0.987], [0.265, 0.726, 0.163], [0.289, 0.540, 0.692], [0.412, 0.128, 0.666], [0.588, 0.872, 0.334], [0.711, 0.460, 0.308], [0.735, 0.274, 0.837], [0.743, 0.793, 0.013], [0.905, 0.027, 0.247]]}